DFT (GGA-PBE) results for an optimized crystal structure of LiAcPb.

```
3
Lattice="-1.899 1.899 6.253 1.899 -1.899 6.253 1.899 1.899 -6.253" Properties=species:S:1:pos:R:3 pbc="T T T"
Li 0.000 0.000 0.000
Ac 0.000 0.000 3.759
Pb 0.000 0.000 7.542
```

Calculated values
* ΔE_f: -0.243 eV per atom
* E: -3.4868 eV per atom
* ΔE to the lowest computed polymorph: 283.9 meV per atom
* ρ: 8.121 Mg/m³

***

DFT (GGA-PBE) results for an optimized crystal structure of Tb2Si4IrRh3.

```
10
Lattice="4.128 0.000 0.000 0.000 4.128 0.000 0.000 0.000 9.820" Properties=species:S:1:pos:R:3 pbc="T T T"
Tb 0.000 2.064 2.393
Tb 2.064 0.000 7.427
Si 0.000 0.000 0.000
Si 0.000 2.064 6.195
Si 2.064 0.000 3.625
Si 2.064 2.064 0.000
Ir 0.000 0.000 4.910
Rh 0.000 2.064 8.571
Rh 2.064 0.000 1.248
Rh 2.064 2.064 4.910
```

Calculated values
* E: -7.2498 eV per atom
* energy relative to the elements, uncorrected: -1.063 eV/atom
* ρ: 9.239 Mg/m³

***

DFT (GGA-PBE) results for an optimized crystal structure of NbCu2AgS4.

```
8
Lattice="-2.772 2.772 5.353 2.772 -2.772 5.353 2.772 2.772 -5.353" Properties=species:S:1:pos:R:3 pbc="T T T"
Nb 0.000 0.000 0.000
Cu 2.772 0.000 2.676
Cu 0.000 2.772 2.676
Ag 0.000 0.000 5.353
S 1.481 -1.481 3.911
S 1.292 1.292 1.442
S -1.481 1.481 3.911
S 1.481 1.481 6.795
```

Calculated values
* E: -5.1833 eV per atom
* energy relative to the elements, uncorrected: -0.480 eV/atom
* ρ: 4.603 Mg/m³

***

DFT (GGA-PBE) results for an optimized crystal structure of TbEr6Tm8.

```
15
Lattice="4.447 2.568 6.753 -4.447 2.568 6.753 0.000 -5.135 6.753" Properties=species:S:1:pos:R:3 pbc="T T T"
Tb 0.000 0.000 0.000
Er -1.895 0.545 5.921
Er 0.476 -1.913 5.921
Er -1.419 -1.369 14.339
Er 1.419 1.369 5.921
Er -0.476 1.913 14.339
Er 1.895 -0.545 14.339
Tm -2.722 -1.675 10.618
Tm -2.812 1.520 9.642
Tm 0.090 -3.195 9.642
Tm 0.000 0.000 8.585
Tm 0.000 0.000 11.675
Tm -0.090 3.195 10.618
Tm 2.812 -1.520 10.618
Tm 2.722 1.675 9.642
```

Calculated values
* ΔE_f: 0.134 eV per atom
* E: -4.3842 eV per atom
* ΔE to the lowest computed polymorph: 0.0 meV per atom
* ρ: 9.023 Mg/m³

***

DFT (GGA-PBE) results for an optimized crystal structure of HgIr2Br.

```
4
Lattice="1.416 -2.584 0.000 1.416 2.584 0.000 0.000 0.000 10.704" Properties=species:S:1:pos:R:3 pbc="T T T"
Hg 0.000 0.000 0.000
Ir 0.000 0.000 5.942
Ir 1.416 0.000 8.126
Br 1.416 0.000 3.674
```

Calculated values
* E: -4.2722 eV per atom
* ΔE to the lowest computed polymorph: 230.3 meV per atom
* energy relative to the elements, uncorrected: 0.652 eV/atom
* ρ: 14.090 Mg/m³

***

DFT (GGA-PBE) results for an optimized crystal structure of LiZr2IrO.

```
5
Lattice="4.494 0.000 0.000 0.000 4.494 0.000 0.000 0.000 3.665" Properties=species:S:1:pos:R:3 pbc="T T T"
Li 0.000 0.000 0.000
Zr 0.000 2.247 1.832
Zr 2.247 0.000 1.832
Ir 2.247 2.247 0.000
O 0.000 0.000 1.832
```

Calculated values
* E: -8.0084 eV per atom
* energy relative to the elements, uncorrected: -1.443 eV/atom
* ρ: 8.919 Mg/m³

***

DFT (GGA-PBE) results for an optimized crystal structure of Np6NbS12.

```
19
Lattice="5.864 3.385 3.700 -5.864 3.385 3.700 0.000 -6.771 3.700" Properties=species:S:1:pos:R:3 pbc="T T T"
Np -2.950 -2.841 5.810
Np -3.935 1.135 5.292
Np 0.985 -3.975 5.292
Np -0.985 3.975 5.809
Np 3.935 -1.135 5.809
Np 2.950 2.841 5.292
Nb 0.000 0.000 5.551
S -1.488 -4.910 4.853
S -4.996 -1.166 6.248
S -2.036 -0.535 4.225
S -3.508 3.744 4.853
S 1.481 -1.496 4.225
S -0.555 -2.030 6.876
S 0.555 2.030 4.225
S -1.481 1.496 6.876
S 3.508 -3.744 6.248
S 2.036 0.535 6.876
S 4.996 1.166 4.853
S 1.488 4.910 6.248
```

Calculated values
* E: -8.5170 eV per atom
* energy relative to the elements, uncorrected: -1.294 eV/atom
* ρ: 7.157 Mg/m³

***

DFT (GGA-PBE) results for an optimized crystal structure of Sr2ZnReN4.

```
16
Lattice="5.812 0.000 0.000 0.000 7.348 0.000 0.000 0.000 6.149" Properties=species:S:1:pos:R:3 pbc="T T T"
Sr 1.453 0.011 1.507
Sr 1.453 3.663 1.507
Sr 4.359 3.685 4.642
Sr 4.359 7.337 4.642
Zn 1.453 1.837 4.755
Zn 4.359 5.511 1.394
Re 1.453 5.511 4.926
Re 4.359 1.837 1.223
N 0.024 1.837 0.112
N 1.453 3.906 3.998
N 1.453 7.116 3.998
N 2.882 1.837 0.112
N 2.930 5.511 6.037
N 4.359 0.232 2.151
N 4.359 3.442 2.151
N 5.788 5.511 6.037
```

Calculated values
* E: -6.8310 eV per atom
* energy relative to the elements, uncorrected: -0.533 eV/atom
* ρ: 6.107 Mg/m³